Model i:
The following is a DFT calculation (PBE) of a relaxed structure of MnAgI6.

abc: 6.892 7.166 7.741
angles: 63.20 64.23 88.60
Sites, in units of the cell vectors:
Mn: 0.000 0.000 0.000
Ag: 0.500 0.500 0.000
I: 0.029 0.223 0.605
I: 0.245 0.766 0.827
I: 0.399 0.257 0.838
I: 0.601 0.743 0.162
I: 0.755 0.234 0.173
I: 0.971 0.777 0.395

Values from the calculation:
The density of states at the Fermi level comes out at 0.705 states/eV/atom. As for the spin magnetization: 3.40 μB per cell. Its space group is No. 2.

---

Model ii:
The following is a DFT calculation (PBE) of a relaxed structure of MnAgI6.

abc: 6.469 6.469 7.714
angles: 93.75 93.51 100.09
Sites, in units of the cell vectors:
Mn: 0.000 0.000 0.000
Ag: 0.500 0.500 0.500
I: 0.014 0.675 0.769
I: 0.323 0.987 0.231
I: 0.336 0.334 0.783
I: 0.664 0.666 0.217
I: 0.677 0.013 0.769
I: 0.986 0.325 0.231

Values from the calculation:
The density of states at the Fermi level comes out at 0.323 states/eV/atom. As for the spin magnetization: 4.56 μB per cell. Its space group is No. 2.

---

Going by the computed energies, the most stable comes first: model i, model ii.

---

Model i:
The following is a DFT calculation (PBE) of a relaxed structure of MnAgI2.

abc: 7.117 7.117 7.117
angles: 90.00 90.00 90.00
Sites, in units of the cell vectors:
Mn: 0.000 0.000 0.000
Mn: 0.000 0.500 0.500
Mn: 0.500 0.000 0.500
Mn: 0.500 0.500 0.000
Ag: 0.000 0.000 0.500
Ag: 0.000 0.500 0.000
Ag: 0.500 0.000 0.000
Ag: 0.500 0.500 0.500
I: 0.250 0.250 0.250
I: 0.250 0.250 0.750
I: 0.250 0.750 0.250
I: 0.250 0.750 0.750
I: 0.750 0.250 0.250
I: 0.750 0.250 0.750
I: 0.750 0.750 0.250
I: 0.750 0.750 0.750

Values from the calculation:
The density of states at the Fermi level comes out at 0.474 states/eV/atom. As for the spin magnetization: 0.00 μB per cell. Its space group is No. 225.

---

Model ii:
The following is a DFT calculation (PBE) of a relaxed structure of MnAgI2.

abc: 4.020 4.020 27.632
angles: 90.00 90.00 120.00
Sites, in units of the cell vectors:
Mn: 0.000 0.000 0.000
Mn: 0.333 0.667 0.667
Mn: 0.667 0.333 0.333
Ag: 0.000 0.000 0.500
Ag: 0.333 0.667 0.167
Ag: 0.667 0.333 0.833
I: 0.000 0.000 0.395
I: 0.000 0.000 0.605
I: 0.333 0.667 0.062
I: 0.333 0.667 0.272
I: 0.667 0.333 0.728
I: 0.667 0.333 0.938

Values from the calculation:
The density of states at the Fermi level comes out at 0.345 states/eV/atom. As for the spin magnetization: 13.15 μB per cell. Its space group is No. 166.

---

Going by the computed energies, the most stable comes first: model ii, model i.

---

Model i:
The following is a DFT calculation (PBE) of a relaxed structure of MnAgI2N.

abc: 5.874 5.874 3.865
angles: 90.00 90.00 90.00
Sites, in units of the cell vectors:
Mn: 0.000 0.000 0.000
Ag: 0.500 0.500 0.500
I: 0.000 0.500 0.500
I: 0.500 0.000 0.500
N: 0.500 0.500 0.000

Values from the calculation:
The density of states at the Fermi level comes out at 1.690 states/eV/atom. As for the spin magnetization: 0.25 μB per cell. Its space group is No. 123.

---

Model ii:
The following is a DFT calculation (PBE) of a relaxed structure of MnAgI2N.

abc: 5.702 5.702 3.607
angles: 90.00 90.00 90.00
Sites, in units of the cell vectors:
Mn: 0.000 0.000 0.000
Ag: 0.500 0.500 0.500
I: 0.000 0.500 0.000
I: 0.500 0.000 0.000
N: 0.000 0.000 0.500

Values from the calculation:
The density of states at the Fermi level comes out at 0.458 states/eV/atom. As for the spin magnetization: 2.81 μB per cell. Its space group is No. 123.

---

Going by the computed energies, the most stable comes first: model ii, model i.

---

Model i:
The following is a DFT calculation (PBE) of a relaxed structure of MnAgSb2I.

abc: 4.979 4.979 5.859
angles: 90.00 90.00 90.00
Sites, in units of the cell vectors:
Mn: 0.000 0.000 0.000
Ag: 0.500 0.500 0.500
Sb: 0.000 0.500 0.000
Sb: 0.500 0.000 0.000
I: 0.000 0.000 0.500

Values from the calculation:
The density of states at the Fermi level comes out at 0.598 states/eV/atom. As for the spin magnetization: 2.09 μB per cell. Its space group is No. 123.

---

Model ii:
The following is a DFT calculation (PBE) of a relaxed structure of MnAgSb2I.

abc: 5.898 5.898 4.986
angles: 90.00 90.00 90.00
Sites, in units of the cell vectors:
Mn: 0.000 0.000 0.000
Ag: 0.500 0.500 0.000
Sb: 0.000 0.500 0.500
Sb: 0.500 0.000 0.500
I: 0.000 0.000 0.500

Values from the calculation:
The density of states at the Fermi level comes out at 0.999 states/eV/atom. As for the spin magnetization: 4.46 μB per cell. Its space group is No. 123.

---

Model iii:
The following is a DFT calculation (PBE) of a relaxed structure of MnAgSb2I.

abc: 5.329 5.329 5.595
angles: 90.00 90.00 90.00
Sites, in units of the cell vectors:
Mn: 0.000 0.000 0.000
Ag: 0.500 0.500 0.500
Sb: 0.000 0.500 0.500
Sb: 0.500 0.000 0.500
I: 0.500 0.500 0.000

Values from the calculation:
The density of states at the Fermi level comes out at 1.425 states/eV/atom. As for the spin magnetization: 0.90 μB per cell. Its space group is No. 123.

---

Going by the computed energies, the most stable comes first: model i, model ii, model iii.

---

Model i:
The following is a DFT calculation (PBE) of a relaxed structure of AgMoI2.

abc: 7.111 7.111 7.111
angles: 90.00 90.00 90.00
Sites, in units of the cell vectors:
Ag: 0.000 0.000 0.000
Ag: 0.000 0.500 0.500
Ag: 0.500 0.000 0.500
Ag: 0.500 0.500 0.000
Mo: 0.000 0.000 0.500
Mo: 0.000 0.500 0.000
Mo: 0.500 0.000 0.000
Mo: 0.500 0.500 0.500
I: 0.250 0.250 0.250
I: 0.250 0.250 0.750
I: 0.250 0.750 0.250
I: 0.250 0.750 0.750
I: 0.750 0.250 0.250
I: 0.750 0.250 0.750
I: 0.750 0.750 0.250
I: 0.750 0.750 0.750

Values from the calculation:
The density of states at the Fermi level comes out at 0.434 states/eV/atom. As for the spin magnetization: 3.44 μB per cell. Its space group is No. 225.

---

Model ii:
The following is a DFT calculation (PBE) of a relaxed structure of AgMoI2.

abc: 6.709 6.709 13.463
angles: 90.00 90.00 90.00
Sites, in units of the cell vectors:
Ag: 0.000 0.000 0.000
Ag: 0.000 0.500 0.250
Ag: 0.500 0.000 0.750
Ag: 0.500 0.500 0.500
Mo: 0.000 0.000 0.500
Mo: 0.000 0.500 0.750
Mo: 0.500 0.000 0.250
Mo: 0.500 0.500 0.000
I: 0.244 0.250 0.125
I: 0.250 0.744 0.375
I: 0.250 0.756 0.875
I: 0.256 0.250 0.625
I: 0.744 0.750 0.625
I: 0.750 0.244 0.875
I: 0.750 0.256 0.375
I: 0.756 0.750 0.125

Values from the calculation:
The density of states at the Fermi level comes out at 0.034 states/eV/atom. As for the spin magnetization: 20.00 μB per cell. Its space group is No. 122.

---

Going by the computed energies, the most stable comes first: model ii, model i.

---

Model i:
The following is a DFT calculation (PBE) of a relaxed structure of AgMo2I.

abc: 6.558 6.558 6.558
angles: 90.00 90.00 90.00
Sites, in units of the cell vectors:
Ag: 0.000 0.000 0.000
Ag: 0.000 0.500 0.500
Ag: 0.500 0.000 0.500
Ag: 0.500 0.500 0.000
Mo: 0.250 0.250 0.250
Mo: 0.250 0.250 0.750
Mo: 0.250 0.750 0.250
Mo: 0.250 0.750 0.750
Mo: 0.750 0.250 0.250
Mo: 0.750 0.250 0.750
Mo: 0.750 0.750 0.250
Mo: 0.750 0.750 0.750
I: 0.000 0.000 0.500
I: 0.000 0.500 0.000
I: 0.500 0.000 0.000
I: 0.500 0.500 0.500

Values from the calculation:
The density of states at the Fermi level comes out at 1.081 states/eV/atom. As for the spin magnetization: 0.00 μB per cell. Its space group is No. 225.

---

Model ii:
The following is a DFT calculation (PBE) of a relaxed structure of AgMo2I.

abc: 3.992 3.992 20.629
angles: 90.00 90.00 90.00
Sites, in units of the cell vectors:
Ag: 0.000 0.000 0.000
Ag: 0.000 0.500 0.250
Ag: 0.500 0.000 0.750
Ag: 0.500 0.500 0.500
Mo: 0.192 0.250 0.125
Mo: 0.250 0.692 0.375
Mo: 0.250 0.808 0.875
Mo: 0.308 0.250 0.625
Mo: 0.692 0.750 0.625
Mo: 0.750 0.192 0.875
Mo: 0.750 0.308 0.375
Mo: 0.808 0.750 0.125
I: 0.000 0.000 0.500
I: 0.000 0.500 0.750
I: 0.500 0.000 0.250
I: 0.500 0.500 0.000

Values from the calculation:
The density of states at the Fermi level comes out at 1.065 states/eV/atom. As for the spin magnetization: 0.00 μB per cell. Its space group is No. 122.

---

Going by the computed energies, the most stable comes first: model i, model ii.